1.
DFT (GGA-PBE) results for an optimized crystal structure of CuAuSe2N.

Cell lengths 5.018, 5.018, 3.538 Å; angles 90.00, 90.00, 90.00 degrees
Space group P4/mmm (No. 123)
Asymmetric unit:
Cu1 0.000 0.000 0.000 x1
Au1 0.500 0.500 0.500 x1
Se1 0.000 0.500 0.000 x2
N1 0.000 0.000 0.500 x1

Values from the calculation:
For the uncorrected formation energy, the calculation gives 0.95 eV/atom.

=====

2.
DFT (GGA-PBE) results for an optimized crystal structure of LiSm3Si6Pt2.

Cell lengths 5.8232, 5.8232, 8.0393 Å; angles 90.00, 90.00, 120.00 degrees
Space group P-3m1 (No. 164)
Asymmetric unit:
Li1 0.0000 0.0000 0.0000 x1
Sm1 0.0000 0.0000 0.5000 x1
Sm2 0.3333 0.6667 0.1302 x2
Si1 0.1940 0.3879 0.7870 x6
Pt1 0.3333 0.6667 0.5349 x2

Values from the calculation:
For the uncorrected formation energy, the calculation gives -0.46 eV/atom.

=====

3.
DFT (GGA-PBE) results for an optimized crystal structure of Al2InAs.

Cell lengths 3.332, 3.413, 7.180 Å; angles 90.00, 90.00, 90.00 degrees
Space group Pmmm (No. 47)
Asymmetric unit:
Al1 0.000 0.000 0.202 x2
In1 0.500 0.500 0.500 x1
As1 0.500 0.500 0.000 x1

Values from the calculation:
As for the formation energy: 0.106 eV/atom.

=====

4.
DFT (GGA-PBE) results for an optimized crystal structure of Ga2Co2P.

Cell lengths 5.908, 5.908, 3.736 Å; angles 90.00, 90.00, 90.00 degrees
Space group P4/mbm (No. 127)
Asymmetric unit:
Ga1 0.151 0.349 0.000 x4
Co1 0.163 0.663 0.500 x4
P1 0.000 0.000 0.500 x2

Values from the calculation:
As for the formation energy: -0.168 eV/atom.

=====

5.
DFT (GGA-PBE) results for an optimized crystal structure of BeCoBTe.

Cell lengths 2.922, 3.622, 10.956 Å; angles 90.00, 90.00, 90.00 degrees
Space group Imm2 (No. 44)
Asymmetric unit:
Be1 0.000 0.000 0.000 x2
Co1 0.000 0.000 0.447 x2
B1 0.000 0.500 0.060 x2
Te1 0.000 0.500 0.271 x2

Values from the calculation:
For the uncorrected formation energy, the calculation gives 0.23 eV/atom.

=====

6.
DFT (GGA-PBE) results for an optimized crystal structure of Ac4Te3N2.

Cell lengths 15.000, 4.448, 10.250 Å; angles 90.00, 121.81, 90.00 degrees
Space group C2/m (No. 12)
Asymmetric unit:
Ac1 0.125 0.000 0.412 x4
Ac2 0.192 0.500 0.136 x4
Te1 0.000 0.000 0.000 x2
Te2 0.114 0.500 0.721 x4
N1 0.193 0.500 0.363 x4

Values from the calculation:
For the uncorrected formation energy, the calculation gives -1.52 eV/atom.

=====

7.
DFT (GGA-PBE) results for an optimized crystal structure of Mo2RhN.

Cell lengths 3.0770, 3.0770, 19.5714 Å; angles 90.00, 90.00, 120.00 degrees
Space group R-3m (No. 166, hexagonal axes)
Asymmetric unit:
Mo1 0.0000 0.0000 0.2226 x6
Rh1 0.0000 0.0000 0.0000 x3
N1 0.0000 0.0000 0.5000 x3

Values from the calculation:
For the uncorrected formation energy, the calculation gives 0.02 eV/atom.

=====

8.
DFT (GGA-PBE) results for an optimized crystal structure of Y3Mn.

Cell lengths 5.223, 6.875, 6.105 Å; angles 90.00, 90.00, 90.00 degrees
Space group Pmmn (No. 59, origin choice 2)
Asymmetric unit:
Y1 0.250 0.005 0.169 x4
Y2 0.250 0.250 0.629 x2
Mn1 0.250 0.750 0.671 x2

Values from the calculation:
As for the formation energy: 0.195 eV/atom.

=====

9.
DFT (GGA-PBE) results for an optimized crystal structure of La2PmDy2Y6.

Cell lengths 5.750, 12.176, 10.519 Å; angles 90.00, 90.00, 90.00 degrees
Space group Cmmm (No. 65)
Asymmetric unit:
La1 0.000 0.212 0.000 x4
Pm1 0.000 0.500 0.000 x2
Dy1 0.000 0.130 0.500 x4
Y1 0.000 0.000 0.208 x4
Y2 0.000 0.350 0.306 x8

Values from the calculation:
As for the formation energy: 0.135 eV/atom.

=====

10.
DFT (GGA-PBE) results for an optimized crystal structure of Sn7TeBr12.

Cell lengths 15.9724, 15.9724, 10.7731 Å; angles 90.00, 90.00, 120.00 degrees
Space group R-3 (No. 148, hexagonal axes)
Asymmetric unit:
Sn1 0.0000 0.0000 0.0000 x3
Sn2 0.0506 0.8672 0.3289 x18
Te1 0.0000 0.0000 0.5000 x3
Br1 0.0325 0.8683 0.8300 x18
Br2 0.0400 0.4500 0.1477 x18

Values from the calculation:
For the uncorrected formation energy, the calculation gives -0.71 eV/atom.

=====

11.
DFT (GGA-PBE) results for an optimized crystal structure of La2FeC.

Cell lengths 7.103, 7.103, 7.860 Å; angles 90.00, 90.00, 90.00 degrees
Space group I-42d (No. 122)
Asymmetric unit:
La1 0.195 0.250 0.125 x8
Fe1 0.000 0.000 0.500 x4
C1 0.000 0.000 0.000 x4

Values from the calculation:
As for the formation energy: 0.549 eV/atom.

=====

Here are the calculated V numbers, same order: 89, 236, 82, 65, 58, 291, 53, 110, 368, 793, 99 (Å³/f.u.).